Material: Li2TlAgCl4
Method: DFT, GGA-PBE
State: optimized geometry

Cell lengths 3.8183, 6.9302, 15.2793 Å; angles 90.00, 90.00, 105.99 degrees
With the nearest neighbours (Å) after each atom.
Positions (direct):
Cl: 0.5348 0.0696 0.2500  2 Ag 2.62
Cl: 0.4652 0.9304 0.7500  2 Ag 2.62
Cl: 0.0000 0.0000 0.5000  4 Li 2.57
Cl: 0.2435 0.4869 0.0963  3 Li 2.54-2.70, 1 Ag 2.55
Li: 0.3738 0.7476 0.5248  5 Cl 2.54-2.70
Cl: 0.7565 0.5131 0.5963  3 Li 2.54-2.70, 1 Ag 2.55
Cl: 0.2435 0.4869 0.4037  3 Li 2.54-2.70, 1 Ag 2.55
Ag: 0.8310 0.6619 0.7500  4 Cl 2.55-2.62
Li: 0.6262 0.2524 0.0248  5 Cl 2.54-2.70
Li: 0.6262 0.2524 0.4752  5 Cl 2.54-2.70
Li: 0.3738 0.7476 0.9752  5 Cl 2.54-2.70
Cl: 0.0000 0.0000 0.0000  4 Li 2.57
Ag: 0.1690 0.3381 0.2500  4 Cl 2.55-2.62
Tl: 0.1378 0.2756 0.7500  2 Cl 2.99, 2 Ag 3.20
Tl: 0.8622 0.7244 0.2500  2 Cl 2.99, 2 Ag 3.20
Cl: 0.7565 0.5131 0.9037  3 Li 2.54-2.70, 1 Ag 2.55

Output
formation energy from raw total energies = -1.20 eV per atom